Computed, not measured: an optimized crystal structure of TbHoO3 at the GGA-PBE level of DFT.

Results
**ΔE_f (raw)**: -3496 meV/atom

a b c (Å): 5.943 8.478 5.683
angles (deg): 90.00 90.00 90.00
Sites, in units of the cell vectors:
Tb (0.052, 0.250, 0.021)
Tb (0.448, 0.750, 0.521)
Tb (0.552, 0.250, 0.479)
Tb (0.948, 0.750, 0.979)
Ho (0.000, 0.000, 0.500)
Ho (0.000, 0.500, 0.500)
Ho (0.500, 0.000, 0.000)
Ho (0.500, 0.500, 0.000)
O (0.080, 0.750, 0.349)
O (0.190, 0.581, 0.813)
O (0.190, 0.919, 0.813)
O (0.310, 0.081, 0.313)
O (0.310, 0.419, 0.313)
O (0.420, 0.250, 0.849)
O (0.580, 0.750, 0.151)
O (0.690, 0.581, 0.687)
O (0.690, 0.919, 0.687)
O (0.810, 0.081, 0.187)
O (0.810, 0.419, 0.187)
O (0.920, 0.250, 0.651)

=====

Computed, not measured: an optimized crystal structure of TbHo3O at the GGA-PBE level of DFT.

Results
**ΔE_f (raw)**: -1094 meV/atom

a b c (Å): 4.918 4.918 4.918
angles (deg): 90.00 90.00 90.00
Sites, in units of the cell vectors:
Tb (0.000, 0.000, 0.000)
Ho (0.000, 0.500, 0.500)
Ho (0.500, 0.000, 0.500)
Ho (0.500, 0.500, 0.000)
O (0.500, 0.500, 0.500)

=====

Computed, not measured: an optimized crystal structure of TbHo3O6 at the GGA-PBE level of DFT.

Results
**ΔE_f (raw)**: -3567 meV/atom

a b c (Å): 6.717 6.717 6.717
angles (deg): 91.46 91.46 91.46
Sites, in units of the cell vectors:
Tb (0.000, 0.000, 0.000)
Tb (0.500, 0.500, 0.500)
Ho (0.055, 0.751, 0.563)
Ho (0.249, 0.437, 0.945)
Ho (0.437, 0.945, 0.249)
Ho (0.563, 0.055, 0.751)
Ho (0.751, 0.563, 0.055)
Ho (0.945, 0.249, 0.437)
O (0.028, 0.680, 0.896)
O (0.104, 0.972, 0.320)
O (0.182, 0.428, 0.597)
O (0.320, 0.104, 0.972)
O (0.403, 0.818, 0.572)
O (0.428, 0.597, 0.182)
O (0.572, 0.403, 0.818)
O (0.597, 0.182, 0.428)
O (0.680, 0.896, 0.028)
O (0.818, 0.572, 0.403)
O (0.896, 0.028, 0.680)
O (0.972, 0.320, 0.104)

=====

Computed, not measured: an optimized crystal structure of TbHoO3 at the GGA-PBE level of DFT.

Results
**ΔE_f (raw)**: -3396 meV/atom

a b c (Å): 6.361 6.361 6.361
angles (deg): 52.47 52.47 52.47
Sites, in units of the cell vectors:
Tb (0.145, 0.145, 0.145)
Tb (0.855, 0.855, 0.855)
Ho (0.353, 0.353, 0.353)
Ho (0.647, 0.647, 0.647)
O (0.045, 0.459, 0.745)
O (0.255, 0.541, 0.955)
O (0.459, 0.745, 0.045)
O (0.541, 0.955, 0.255)
O (0.745, 0.045, 0.459)
O (0.955, 0.255, 0.541)

=====

Computed, not measured: an optimized crystal structure of TbHoO4 at the GGA-PBE level of DFT.

Results
**ΔE_f (raw)**: -2985 meV/atom

a b c (Å): 6.792 3.757 6.220
angles (deg): 90.00 96.32 90.00
Sites, in units of the cell vectors:
Tb (0.000, 0.000, 0.000)
Tb (0.500, 0.500, 0.000)
Ho (0.131, 0.500, 0.543)
Ho (0.631, 0.000, 0.543)
O (0.168, 0.500, 0.914)
O (0.223, 0.000, 0.330)
O (0.407, 0.000, 0.218)
O (0.463, 0.500, 0.624)
O (0.668, 0.000, 0.914)
O (0.723, 0.500, 0.330)
O (0.907, 0.500, 0.218)
O (0.963, 0.000, 0.624)

=====

Computed, not measured: an optimized crystal structure of TbHoO3 at the GGA-PBE level of DFT.

Results
**ΔE_f (raw)**: -3383 meV/atom

a b c (Å): 5.965 5.965 3.056
angles (deg): 90.00 90.00 120.00
Sites, in units of the cell vectors:
Tb (0.000, 0.000, 0.000)
Ho (0.333, 0.667, 0.000)
O (0.168, 0.336, 0.500)
O (0.168, 0.832, 0.500)
O (0.664, 0.832, 0.500)

=====

no.,VASP energy (eV/cell)
1,-166.25
2,-28.79
3,-167.56
4,-82.13
5,-93.90
6,-41.00